# 1
CaVCu2: relaxed, PBE.

Energy above the most stable polymorph in this dataset (kJ/mol of formula units): 0.0
Spin magnetization (μB per cell): 3.19
Electronic total energy (eV per atom): -4.4808

a b c (Å): 4.6394 4.6394 4.6394
angles (deg): 60.00 60.00 60.00
Atoms (fractional coordinates):
Ca 0.0000 0.0000 0.0000
V 0.5000 0.5000 0.5000
Cu 0.2500 0.2500 0.2500
Cu 0.7500 0.7500 0.7500

=====

# 2
Cs2VCu2: relaxed, PBE.

Spin magnetization (μB per cell): 3.63
Electronic total energy (eV per atom): -2.5064

a b c (Å): 7.9463 7.9463 7.9463
angles (deg): 144.25 144.25 51.46
Atoms (fractional coordinates):
Cs 0.2500 0.7500 0.5000
Cs 0.7500 0.2500 0.5000
V 0.0000 0.0000 0.0000
Cu 0.4202 0.4202 0.0000
Cu 0.5798 0.5798 0.0000

=====

# 3
PuHfH2: relaxed, PBE.

Energy above the most stable polymorph in this dataset (kJ/mol of formula units): 0.0
Spin magnetization (μB per cell): 5.87
Electronic total energy (eV per atom): -7.9760

a b c (Å): 5.9515 5.9515 5.9515
angles (deg): 31.55 31.55 31.55
Atoms (fractional coordinates):
Pu 0.0000 0.0000 0.0000
Hf 0.5000 0.5000 0.5000
H 0.2293 0.2293 0.2293
H 0.7707 0.7707 0.7707

=====

# 4
BaAcAu2: relaxed, PBE.

Energy above the most stable polymorph in this dataset (kJ/mol of formula units): 3.0
Spin magnetization (μB per cell): 0.00
Electronic total energy (eV per atom): -3.8789

a b c (Å): 8.1388 8.1388 8.1388
angles (deg): 33.06 33.06 33.06
Atoms (fractional coordinates):
Ba 0.0000 0.0000 0.0000
Ac 0.5000 0.5000 0.5000
Au 0.2431 0.2431 0.2431
Au 0.7569 0.7569 0.7569